Density functional theory data (PBE-GGA) for an optimized crystal structure of SiBSe.

## Properties
volume: 116 Å³/cell
uncorrected energy: -4.91 eV per atom
formation energy from raw total energies: 285 meV per atom

Cell lengths 6.2852, 3.0954, 6.5435 Å; angles 90.00, 114.86, 90.00 degrees
Space group P2_1/m (No. 11)
One atom of each set of equivalent atoms:
Si1 0.2400 0.2500 0.0265 x2
B1 0.4367 0.7500 0.9761 x2
Se1 0.1432 0.7500 0.2782 x2


Density functional theory data (PBE-GGA) for an optimized crystal structure of SiBSe2.

## Properties
volume: 214 Å³/cell
uncorrected energy: -4.13 eV per atom
formation energy from raw total energies: 633 meV per atom

Cell lengths 3.2030, 3.2030, 24.0481 Å; angles 90.00, 90.00, 120.00 degrees
Space group R-3m (No. 166, hexagonal axes)
One atom of each set of equivalent atoms:
Si1 0.0000 0.0000 0.0000 x3
B1 0.0000 0.0000 0.5000 x3
Se1 0.0000 0.0000 0.1124 x6


Density functional theory data (PBE-GGA) for an optimized crystal structure of SiBSe2.

## Properties
volume: 256 Å³/cell
uncorrected energy: -3.65 eV per atom
formation energy from raw total energies: 1113 meV per atom

Cell lengths 6.3535, 6.3535, 6.3535 Å; angles 90.00, 90.00, 90.00 degrees
Space group Fm-3m (No. 225)
One atom of each set of equivalent atoms:
Si1 0.0000 0.0000 0.0000 x4
B1 0.0000 0.0000 0.5000 x4
Se1 0.2500 0.2500 0.2500 x8


Density functional theory data (PBE-GGA) for an optimized crystal structure of SiB3Se.

## Properties
volume: 68 Å³/cell
uncorrected energy: -3.71 eV per atom
formation energy from raw total energies: 2075 meV per atom

Cell lengths 4.0812, 4.0812, 4.0812 Å; angles 90.00, 90.00, 90.00 degrees
Space group Pm-3m (No. 221)
One atom of each set of equivalent atoms:
Si1 0.0000 0.0000 0.0000 x1
B1 0.0000 0.5000 0.5000 x3
Se1 0.5000 0.5000 0.5000 x1


Density functional theory data (PBE-GGA) for an optimized crystal structure of SiBSe3.

## Properties
volume: 89 Å³/cell
uncorrected energy: -3.76 eV per atom
formation energy from raw total energies: 754 meV per atom

Cell lengths 4.4730, 4.4730, 4.4730 Å; angles 90.00, 90.00, 90.00 degrees
Space group Pm-3m (No. 221)
One atom of each set of equivalent atoms:
Si1 0.0000 0.0000 0.0000 x1
B1 0.5000 0.5000 0.5000 x1
Se1 0.0000 0.5000 0.5000 x3


Density functional theory data (PBE-GGA) for an optimized crystal structure of SiB3Se.

## Properties
volume: 68 Å³/cell
uncorrected energy: -4.31 eV per atom
formation energy from raw total energies: 1481 meV per atom

Cell lengths 4.0768, 4.0768, 4.0768 Å; angles 90.00, 90.00, 90.00 degrees
Space group Pm-3m (No. 221)
One atom of each set of equivalent atoms:
Si1 0.0000 0.0000 0.0000 x1
B1 0.0000 0.0000 0.5000 x3
Se1 0.5000 0.5000 0.5000 x1


Density functional theory data (PBE-GGA) for an optimized crystal structure of SiTc2BSe.

## Properties
volume: 69 Å³/cell
uncorrected energy: -6.86 eV per atom
formation energy from raw total energies: 405 meV per atom

Cell lengths 4.3463, 4.3463, 3.6440 Å; angles 90.00, 90.00, 90.00 degrees
Space group P4/mmm (No. 123)
One atom of each set of equivalent atoms:
Si1 0.0000 0.0000 0.0000 x1
Tc1 0.0000 0.5000 0.5000 x2
B1 0.0000 0.0000 0.5000 x1
Se1 0.5000 0.5000 0.0000 x1


Density functional theory data (PBE-GGA) for an optimized crystal structure of Tl2SiBSe4.

## Properties
volume: 1774 Å³/cell
uncorrected energy: -4.09 eV per atom
formation energy from raw total energies: -243 meV per atom

Cell lengths 5.8058, 13.3625, 22.8661 Å; angles 90.00, 90.00, 90.00 degrees
Space group Fddd (No. 70, origin choice 2)
One atom of each set of equivalent atoms:
Tl1 0.1250 0.1250 0.3033 x16
Si1 0.1250 0.1250 0.6250 x8
B1 0.1250 0.1250 0.1250 x8
Se1 0.0904 0.2855 0.4273 x32


Density functional theory data (PBE-GGA) for an optimized crystal structure of SmBSe.

## Properties
volume: 244 Å³/cell
uncorrected energy: -5.65 eV per atom
formation energy from raw total energies: -692 meV per atom

Cell lengths 5.8341, 5.7740, 7.4094 Å; angles 90.00, 101.93, 90.00 degrees
Space group C2/m (No. 12)
One atom of each set of equivalent atoms:
Sm1 0.1982 0.0000 0.2262 x4
B1 0.0000 0.3620 0.0000 x4
Se1 0.2204 0.5000 0.3382 x4


Density functional theory data (PBE-GGA) for an optimized crystal structure of Sm4BSe3.

## Properties
volume: 397 Å³/cell
uncorrected energy: -5.95 eV per atom
formation energy from raw total energies: -1447 meV per atom

Cell lengths 8.3396, 11.6631, 4.0788 Å; angles 90.00, 90.00, 90.00 degrees
Space group Cmmm (No. 65)
One atom of each set of equivalent atoms:
Sm1 0.0000 0.2312 0.0000 x4
Sm2 0.2230 0.0000 0.5000 x4
B1 0.0000 0.0000 0.0000 x2
Se1 0.0000 0.5000 0.0000 x2
Se2 0.2500 0.2500 0.5000 x4


Density functional theory data (PBE-GGA) for an optimized crystal structure of Sm6BSe12.

## Properties
volume: 1540 Å³/cell
uncorrected energy: -5.29 eV per atom
formation energy from raw total energies: -1249 meV per atom

Cell lengths 12.3318, 12.3318, 11.6915 Å; angles 90.00, 90.00, 120.00 degrees
Space group R-3 (No. 148, hexagonal axes)
One atom of each set of equivalent atoms:
Sm1 0.0509 0.6068 0.3137 x18
B1 0.0000 0.0000 0.0000 x3
Se1 0.0413 0.8240 0.3995 x18
Se2 0.0601 0.8728 0.8904 x18


Density functional theory data (PBE-GGA) for an optimized crystal structure of Sm3BSe2.

## Properties
volume: 2339 Å³/cell
uncorrected energy: -5.92 eV per atom
formation energy from raw total energies: -1289 meV per atom

Cell lengths 8.2716, 11.6027, 24.3745 Å; angles 90.00, 90.00, 90.00 degrees
Space group Fddd (No. 70, origin choice 2)
One atom of each set of equivalent atoms:
Sm1 0.0948 0.3750 0.3750 x16
Sm2 0.1118 0.3613 0.2139 x32
B1 0.1250 0.1250 0.0412 x16
Se1 0.1250 0.1250 0.3781 x16
Se2 0.1250 0.1250 0.5452 x16